NiTe2As | PBE-GGA | optimized geometry

Cell and atoms, written as extended XYZ:
```
4
Lattice="3.369 0.000 0.000 0.000 4.930 0.000 0.000 0.000 5.036" Properties=species:S:1:pos:R:3 pbc="T T T"
Ni 0.000 0.000 0.000
Te 1.684 0.000 2.518
Te 1.684 2.465 0.000
As 0.000 2.465 2.518
```

**M_tot**: 0.00 μB per cell
**Volume**: 83.6 Å³/f.u.
**Total energy**: -3.729 eV/atom
**ΔE_f (raw)**: 10.375 kcal/mol of atoms